1.
PBE BaZnSn2Ir2, optimized geometry; formation energy from the elements = -20.1 kJ per mole of atoms; SG = P4/mmm (123); DOS(E_F) = 4.863 states/eV/cell; E_tot = -5.029 eV/atom
1.0
-0.520 2.671 -3.950
3.289 -2.676 -2.243
-4.477 -3.828 -2.000
Sn Ir Ba Zn
2 2 1 1
Cartesian
0.292 -0.936 -3.584 Sn
-2.000 -2.896 -4.608 Sn
-0.260 1.336 -1.975 Ir
1.645 -1.338 -1.121 Ir
-2.239 -1.914 -1.000 Ba
0.000 0.000 0.000 Zn

***

2.
PBE BaSr4Ir, optimized geometry; formation energy from the elements = 78.2 kJ per mole of atoms; SG = F-43m (216); DOS(E_F) = 8.199 states/eV/cell; E_tot = -2.108 eV/atom
1.0
6.704 -1.387 2.100
1.484 -6.101 3.442
3.787 -5.124 -3.267
Sr Ba Ir
4 1 1
Cartesian
7.865 -5.412 1.912 Sr
6.389 -7.304 -0.805 Sr
5.223 -7.799 2.592 Sr
4.472 -4.710 0.849 Sr
8.981 -9.459 1.706 Ba
0.000 0.000 0.000 Ir

***

Please write out number 2 again, unchanged.
PBE BaSr4Ir, optimized geometry; formation energy from the elements = 78.2 kJ per mole of atoms; SG = F-43m (216); DOS(E_F) = 8.199 states/eV/cell; E_tot = -2.108 eV/atom
1.0
6.704 -1.387 2.100
1.484 -6.101 3.442
3.787 -5.124 -3.267
Sr Ba Ir
4 1 1
Cartesian
7.865 -5.412 1.912 Sr
6.389 -7.304 -0.805 Sr
5.223 -7.799 2.592 Sr
4.472 -4.710 0.849 Sr
8.981 -9.459 1.706 Ba
0.000 0.000 0.000 Ir

***

Q: E_tot of number 2 (BaSr4Ir)?
A: -2.108 eV/atom

***

Q: The highest E_tot belongs to which entry?
A: BaSr4Ir

***

Q: Among the records above, which one has the lowest E_tot?
A: BaZnSn2Ir2